No. 1
CuNi12Sn3 | PBE | relaxed

a = 3.708 Å, b = 3.708 Å, c = 14.587 Å
α = 90.00°, β = 90.00°, γ = 90.00°
Space group P4/mmm (No. 123)
Asymmetric unit:
Cu1 0.000 0.000 0.000
Ni1 0.000 0.500 0.114
Ni2 0.000 0.500 0.371
Ni3 0.500 0.500 0.000
Ni4 0.500 0.500 0.244
Ni5 0.500 0.500 0.500
Sn1 0.000 0.000 0.241
Sn2 0.000 0.000 0.500

Properties
Total energy, eV per atom: -5.452
Formation enthalpy at 0 K, eV/f.u.: -1.75

No. 2
Li2Cr3 | PBE | relaxed

a = 2.6896 Å, b = 2.6896 Å, c = 33.3827 Å
α = 90.00°, β = 90.00°, γ = 120.00°
Space group R-3m (No. 166, hexagonal axes)
Asymmetric unit:
Li1 0.0000 0.0000 0.0962
Cr1 0.0000 0.0000 0.3096
Cr2 0.0000 0.0000 0.5000

Properties
Total energy, eV per atom: -5.969
E above lowest polymorph, meV per atom: 0
Formation enthalpy at 0 K, eV/f.u.: 2.85

No. 3
Ta2Nb15W2 | PBE | relaxed

a = 9.4654 Å, b = 9.4654 Å, c = 14.0855 Å
α = 90.00°, β = 90.00°, γ = 120.00°
Space group R-3m (No. 166, hexagonal axes)
Asymmetric unit:
Ta1 0.0000 0.0000 0.2022
Nb1 0.0000 0.3125 0.5000
Nb2 0.0000 0.5000 0.0000
Nb3 0.0082 0.5041 0.6531
W1 0.0000 0.0000 0.4060

Properties
Total energy, eV per atom: -10.207
Formation enthalpy at 0 K, eV/f.u.: 6.72

No. 4
Ca2DyF6 | PBE | relaxed

a = 5.186 Å, b = 5.186 Å, c = 11.225 Å
α = 90.00°, β = 90.00°, γ = 90.00°
Space group P4_2/mnm (No. 136)
Asymmetric unit:
Ca1 0.000 0.000 0.163
Dy1 0.000 0.000 0.500
F1 0.182 0.182 0.330
F2 0.198 0.198 0.000

Properties
Total energy, eV per atom: -5.893
ΔE_f (raw), meV per atom: -3690